#a
AgHgF4 | PBE-GGA | optimized geometry

Summary:
The calculated density comes out at 7.1 g/cm³.

Cell lengths 6.869, 6.869, 6.869 Å; angles 131.34, 131.34, 71.27 degrees
Sites, in units of the cell vectors:
Ag 0.000 0.500 0.500
Ag 0.500 0.000 0.500
Hg 0.250 0.250 0.000
Hg 0.750 0.750 0.000
F 0.063 0.563 0.889
F 0.174 0.063 0.500
F 0.326 0.826 0.889
F 0.437 0.326 0.500
F 0.563 0.674 0.500
F 0.674 0.174 0.111
F 0.826 0.937 0.500
F 0.937 0.437 0.111



#b
AgHgF4 | PBE-GGA | optimized geometry

Summary:
The calculated density comes out at 6.7 g/cm³.

Cell lengths 5.948, 5.449, 5.863 Å; angles 90.00, 91.14, 90.00 degrees
Sites, in units of the cell vectors:
Ag 0.000 0.000 0.000
Ag 0.000 0.500 0.500
Hg 0.500 0.000 0.500
Hg 0.500 0.500 0.000
F 0.128 0.210 0.283
F 0.128 0.290 0.783
F 0.353 0.687 0.359
F 0.353 0.813 0.859
F 0.647 0.187 0.141
F 0.647 0.313 0.641
F 0.872 0.710 0.217
F 0.872 0.790 0.717



Most stable: #a (next structure +13 meV per atom)



#a
AgHgF | PBE-GGA | optimized geometry

Summary:
The calculated density comes out at 8.6 g/cm³.

Cell lengths 4.550, 5.687, 5.841 Å; angles 111.36, 91.07, 113.17 degrees
Sites, in units of the cell vectors:
Ag 0.123 0.243 0.229
Ag 0.877 0.757 0.771
Hg 0.139 0.301 0.773
Hg 0.861 0.699 0.227
F 0.340 0.684 0.598
F 0.660 0.316 0.402



#b
AgHgF | PBE-GGA | optimized geometry

Summary:
The calculated density comes out at 9.7 g/cm³.

Cell lengths 3.446, 3.446, 5.477 Å; angles 90.00, 90.00, 120.00 degrees
Sites, in units of the cell vectors:
Ag 0.000 0.000 0.000
Hg 0.333 0.667 0.621
F 0.667 0.333 0.271



#c
AgHgF | PBE-GGA | optimized geometry

Summary:
The calculated density comes out at 10.0 g/cm³.

Cell lengths 5.464, 5.464, 5.464 Å; angles 124.55, 122.61, 83.92 degrees
Sites, in units of the cell vectors:
Ag 0.113 0.250 0.363
Ag 0.387 0.750 0.137
Hg 0.250 0.895 0.645
Hg 0.750 0.605 0.855
F 0.639 0.389 0.250
F 0.861 0.111 0.750



Most stable: #c (next structure +16 meV per atom)



#a
AgHgF | PBE-GGA | optimized geometry

Summary:
The calculated density comes out at 9.5 g/cm³.

Cell lengths 4.033, 4.054, 7.016 Å; angles 90.00, 90.00, 90.00 degrees
Sites, in units of the cell vectors:
Ag 0.250 0.250 0.001
Ag 0.750 0.750 0.999
Hg 0.250 0.750 0.296
Hg 0.750 0.250 0.704
F 0.250 0.250 0.499
F 0.750 0.750 0.501



#b
AgHgF | PBE-GGA | optimized geometry

Summary:
The calculated density comes out at 8.2 g/cm³.

Cell lengths 4.710, 4.710, 4.710 Å; angles 125.94, 125.94, 79.98 degrees
Sites, in units of the cell vectors:
Ag 0.000 0.000 0.000
Hg 0.369 0.369 0.000
F 0.699 0.699 0.000



#c
AgHgF | PBE-GGA | optimized geometry

Summary:
The calculated density comes out at 9.9 g/cm³.

Cell lengths 5.061, 5.061, 5.499 Å; angles 116.55, 116.55, 89.14 degrees
Sites, in units of the cell vectors:
Ag 0.073 0.927 0.500
Ag 0.927 0.073 0.000
Hg 0.185 0.545 0.956
Hg 0.545 0.185 0.456
F 0.468 0.715 0.743
F 0.715 0.468 0.243



Most stable: #a (next structure +42 meV per atom)



#a
AgHg2F | PBE-GGA | optimized geometry

Summary:
The calculated density comes out at 9.3 g/cm³.

Cell lengths 5.769, 6.472, 10.132 Å; angles 83.02, 89.95, 89.97 degrees
Sites, in units of the cell vectors:
Ag 0.049 0.172 0.402
Ag 0.451 0.672 0.902
Ag 0.549 0.328 0.098
Ag 0.951 0.828 0.598
Hg 0.155 0.591 0.123
Hg 0.240 0.090 0.932
Hg 0.261 0.590 0.431
Hg 0.345 0.091 0.623
Hg 0.655 0.909 0.377
Hg 0.739 0.410 0.569
Hg 0.760 0.910 0.068
Hg 0.845 0.409 0.877
F 0.169 0.598 0.746
F 0.331 0.098 0.246
F 0.669 0.902 0.754
F 0.831 0.402 0.254



#b
AgHg2F | PBE-GGA | optimized geometry

Summary:
The calculated density comes out at 9.6 g/cm³.

Cell lengths 9.156, 9.156, 9.156 Å; angles 21.67, 21.67, 21.67 degrees
Sites, in units of the cell vectors:
Ag 0.000 0.000 0.000
Hg 0.099 0.099 0.099
Hg 0.901 0.901 0.901
F 0.500 0.500 0.500



Most stable: #a (next structure +126 meV per atom)



#a
AgHg2F | PBE-GGA | optimized geometry

Summary:
The calculated density comes out at 11.1 g/cm³.

Cell lengths 4.811, 4.811, 4.811 Å; angles 60.00, 60.00, 60.00 degrees
Sites, in units of the cell vectors:
Ag 0.000 0.000 0.000
Hg 0.250 0.250 0.250
Hg 0.750 0.750 0.750
F 0.500 0.500 0.500



#b
AgHg2F | PBE-GGA | optimized geometry

Summary:
The calculated density comes out at 10.8 g/cm³.

Cell lengths 6.040, 6.040, 6.040 Å; angles 103.21, 103.21, 122.89 degrees
Sites, in units of the cell vectors:
Ag 0.000 0.000 0.000
Ag 0.750 0.250 0.500
Hg 0.150 0.625 0.025
Hg 0.375 0.400 0.525
Hg 0.600 0.125 0.975
Hg 0.875 0.850 0.475
F 0.250 0.750 0.500
F 0.500 0.500 0.000



Most stable: #b (next structure +92 meV per atom)



#a
AgHgF3 | PBE-GGA | optimized geometry

Summary:
The calculated density comes out at 7.3 g/cm³.

Cell lengths 4.370, 4.370, 4.370 Å; angles 90.00, 90.00, 90.00 degrees
Sites, in units of the cell vectors:
Ag 0.000 0.000 0.000
Hg 0.500 0.500 0.500
F 0.000 0.000 0.500
F 0.000 0.500 0.000
F 0.500 0.000 0.000



#b
AgHgF3 | PBE-GGA | optimized geometry

Summary:
The calculated density comes out at 7.1 g/cm³.

Cell lengths 6.185, 6.185, 6.185 Å; angles 60.71, 60.71, 60.71 degrees
Sites, in units of the cell vectors:
Ag 0.133 0.133 0.133
Ag 0.867 0.867 0.867
Hg 0.355 0.355 0.355
Hg 0.645 0.645 0.645
F 0.054 0.456 0.732
F 0.268 0.946 0.544
F 0.456 0.732 0.054
F 0.544 0.268 0.946
F 0.732 0.054 0.456
F 0.946 0.544 0.268



#c
AgHgF3 | PBE-GGA | optimized geometry

Summary:
The calculated density comes out at 5.5 g/cm³.

Cell lengths 6.053, 6.510, 6.695 Å; angles 106.67, 90.27, 117.64 degrees
Sites, in units of the cell vectors:
Ag 0.249 0.498 0.006
Ag 0.751 0.502 0.994
Hg 0.150 0.301 0.470
Hg 0.850 0.699 0.530
F 0.028 0.557 0.732
F 0.053 0.107 0.726
F 0.468 0.446 0.269
F 0.532 0.554 0.731
F 0.947 0.893 0.274
F 0.972 0.443 0.268



#d
AgHgF3 | PBE-GGA | optimized geometry

Summary:
The calculated density comes out at 6.5 g/cm³.

Cell lengths 4.545, 4.545, 4.545 Å; angles 90.00, 90.00, 90.00 degrees
Sites, in units of the cell vectors:
Ag 0.000 0.000 0.000
Hg 0.500 0.500 0.500
F 0.000 0.500 0.500
F 0.500 0.000 0.500
F 0.500 0.500 0.000



Most stable: #b (next structure +45 meV per atom)